Density functional theory data (PBE-GGA) for an optimized crystal structure of Cd7Ag4Hg.

Structure (extended XYZ):
```
12
Lattice="-4.893 1.024 -1.607 -0.568 -2.447 -8.407 -4.200 -5.350 0.799" Properties=species:S:1:pos:R:3 pbc="T T T"
Cd -5.074 -4.923 -4.845
Cd -1.568 -2.643 -5.488
Cd -2.985 -2.442 -1.046
Cd -6.675 -4.330 -8.169
Cd -2.446 0.512 -0.804
Cd -4.586 -1.849 -4.371
Cd -8.092 -4.129 -3.728
Ag -5.597 -3.348 -2.249
Ag -7.735 -5.882 -5.930
Ag -1.924 -0.890 -3.285
Ag -4.063 -3.424 -6.966
Hg 0.000 0.000 0.000
```

Results
- ΔH_f (0 K) (eV/f.u.) = 1.01
- space group = No. 12

Density functional theory data (PBE-GGA) for an optimized crystal structure of PuPS4Br.

Structure (extended XYZ):
```
14
Lattice="-0.306 -6.960 0.781 3.149 -1.178 6.151 -6.132 -0.699 4.697" Properties=species:S:1:pos:R:3 pbc="T T T"
Br -1.188 -0.362 1.154
Br -2.100 -8.476 10.476
S -3.008 -5.035 9.810
S -0.280 -3.802 1.820
S -2.880 -4.266 6.446
S -4.235 -7.088 7.903
S -2.435 -2.188 3.923
S -0.408 -4.571 5.184
S 0.947 -1.749 3.727
S -0.853 -6.649 7.707
P -2.635 -5.719 7.853
P -0.653 -3.118 3.777
Pu -4.738 -2.395 5.626
Pu 1.450 -6.443 6.004
```

Results
- ΔE_f (raw) (meV/atom) = -652
- space group = No. 12

What did we get for volume? Answer: 23.156, 25.607 A^3/atom, in the order shown.
What did we get for uncorrected energy? Answer: -0.1048, -0.4461 Ry per atom, in the order shown.